# Li2HgPd6

Li2HgPd6 after structural relaxation (PBE-GGA, Alexandria via LeMat-Bulk).

Summary:
The energy of formation from the pure elements comes out at -0.2657 eV/atom. As for the magnetization: 0.00 μB/f.u. Its crystal system is monoclinic. Its offset from the most stable computed form is 0.00 eV/f.u.

a = 11.924 Å, b = 3.951 Å, c = 6.230 Å
α = 90.00°, β = 108.74°, γ = 90.00°
Space group C2/m (No. 12)
Unique sites:
1 Li 0.060 0.000 0.342
2 Hg 0.000 0.500 0.000
3 Pd 0.109 0.500 0.659
4 Pd 0.168 0.000 0.999
5 Pd 0.224 0.500 0.339